(1)
! Sr3Mg7Zn2 (PBE, optimized geometry); values from VASP
&SYSTEM
  ibrav = 0, nat = 12, ntyp = 3
/
ATOMIC_SPECIES
Sr 87.62 Sr.upf
Mg 24.30 Mg.upf
Zn 65.41 Zn.upf
ATOMIC_POSITIONS crystal
Sr 0.000 0.000 0.000
Sr 0.144 0.144 0.144
Sr 0.856 0.856 0.856
Mg 0.074 0.576 0.576
Mg 0.424 0.424 0.926
Mg 0.424 0.926 0.424
Mg 0.500 0.500 0.500
Mg 0.576 0.074 0.576
Mg 0.576 0.576 0.074
Mg 0.926 0.424 0.424
Zn 0.334 0.334 0.334
Zn 0.666 0.666 0.666
CELL_PARAMETERS angstrom
3.157 1.823 9.682
-3.157 1.823 9.682
0.000 -3.646 9.682
! E_tot = -0.123 Ry/atom
! formation energy from the elements = -0.115 eV per atom
! total magnetic moment = 0.0 μB per cell
! space-group type = R-3m (166)

=====

(2)
! SrMgZn2 (PBE, optimized geometry); values from VASP
&SYSTEM
  ibrav = 0, nat = 4, ntyp = 3
/
ATOMIC_SPECIES
Sr 87.62 Sr.upf
Mg 24.30 Mg.upf
Zn 65.41 Zn.upf
ATOMIC_POSITIONS crystal
Sr 0.000 0.000 0.000
Mg 0.000 0.000 0.500
Zn 0.500 0.500 0.306
Zn 0.500 0.500 0.694
CELL_PARAMETERS angstrom
3.696 0.000 0.000
0.000 3.696 0.000
0.000 0.000 7.031
! E_tot = -0.115 Ry/atom
! formation energy from the elements = -0.103 eV per atom
! total magnetic moment = 0.0 μB per cell
! space-group type = P4/mmm (123)

=====

(3)
! SrMg2Zn (PBE, optimized geometry); values from VASP
&SYSTEM
  ibrav = 0, nat = 8, ntyp = 3
/
ATOMIC_SPECIES
Sr 87.62 Sr.upf
Mg 24.30 Mg.upf
Zn 65.41 Zn.upf
ATOMIC_POSITIONS crystal
Sr 0.000 0.000 0.000
Sr 0.500 0.500 0.000
Mg 0.026 0.500 0.578
Mg 0.299 0.500 0.395
Mg 0.526 0.000 0.578
Mg 0.799 0.000 0.395
Zn 0.197 0.000 0.593
Zn 0.697 0.500 0.593
CELL_PARAMETERS angstrom
8.359 0.000 0.000
0.000 4.841 0.000
-2.796 0.000 5.661
! E_tot = -0.118 Ry/atom
! formation energy from the elements = -0.073 eV per atom
! total magnetic moment = 0.0 μB per cell
! space-group type = Cm (8)

=====

(4)
! Sr3MgZn (PBE, optimized geometry); values from VASP
&SYSTEM
  ibrav = 0, nat = 10, ntyp = 3
/
ATOMIC_SPECIES
Sr 87.62 Sr.upf
Mg 24.30 Mg.upf
Zn 65.41 Zn.upf
ATOMIC_POSITIONS crystal
Sr 0.071 0.929 0.750
Sr 0.250 0.750 0.750
Sr 0.428 0.572 0.750
Sr 0.572 0.428 0.250
Sr 0.750 0.250 0.250
Sr 0.929 0.071 0.250
Mg 0.159 0.841 0.250
Mg 0.841 0.159 0.750
Zn 0.341 0.659 0.250
Zn 0.659 0.341 0.750
CELL_PARAMETERS angstrom
2.885 -11.235 0.000
2.885 11.235 0.000
0.000 0.000 5.769
! E_tot = -0.122 Ry/atom
! E above lowest polymorph = 0 meV per atom
! formation energy from the elements = -0.075 eV per atom
! total magnetic moment = 0.0 μB per cell
! space-group type = Cmcm (63)